1.
The following is a DFT calculation (PBE) of a relaxed structure of K3PaBi3Se8.

Its crystal system is monoclinic. The formation energy (no corrections) is -0.925 eV per atom. The value obtained for the density of states at the Fermi level is 0.27 states/eV/atom. The calculation puts the calculated density at 5.3 g/cm3.

It has space group C2/m (No. 12), with a = 14.844 Å, b = 8.578 Å, c = 9.296 Å, α = 90.00°, β = 122.16° and γ = 90.00°. The inequivalent atoms are K at (0.000, 0.000, 0.000), K at (0.250, 0.250, 0.000), Pa at (0.000, 0.000, 0.500), Bi at (0.000, 0.500, 0.500), Bi at (0.250, 0.250, 0.500), Se at (0.013, 0.242, 0.297), Se at (0.229, 0.000, 0.703) and Se at (0.237, 0.500, 0.711).


2.
The following is a DFT calculation (PBE) of a relaxed structure of K2PaBiTe5.

Its crystal system is orthorhombic. The formation energy (no corrections) is -0.724 eV per atom. The calculation puts the calculated density at 5.3 g/cm3.

It has space group Cmc2_1 (No. 36), with a = 4.655 Å, b = 19.389 Å, c = 16.131 Å, α = 90.00°, β = 90.00° and γ = 90.00°. The inequivalent atoms are K at (0.000, 0.099, 0.000), K at (0.000, 0.139, 0.642), Pa at (0.000, 0.217, 0.363), Bi at (0.000, 0.466, 0.769), Te at (0.000, 0.064, 0.396), Te at (0.000, 0.279, 0.984), Te at (0.000, 0.309, 0.738), Te at (0.000, 0.364, 0.325) and Te at (0.000, 0.492, 0.098).


3.
The following is a DFT calculation (PBE) of a relaxed structure of K3Pa3BiTe8.

Its crystal system is trigonal. The formation energy (no corrections) is -0.818 eV per atom. The value obtained for the density of states at the Fermi level is 1.29 states/eV/atom. The calculation puts the calculated density at 5.8 g/cm3.

It has space group R-3m (No. 166, hexagonal axes), with a = 8.9018 Å, b = 8.9018 Å, c = 25.3866 Å, α = 90.00°, β = 90.00° and γ = 120.00°. The inequivalent atoms are K at (0.0000, 0.5000, 0.0000), Pa at (0.0000, 0.5000, 0.5000), Bi at (0.0000, 0.0000, 0.5000), Te at (0.0000, 0.0000, 0.2377) and Te at (0.0070, 0.5035, 0.7624).


4.
The following is a DFT calculation (PBE) of a relaxed structure of K4PaBi3Te8.

Its crystal system is trigonal. The formation energy (no corrections) is -0.687 eV per atom. The value obtained for the density of states at the Fermi level is 0.59 states/eV/atom. The calculation puts the calculated density at 5.5 g/cm3.

It has space group R-3m (No. 166, hexagonal axes), with a = 9.2774 Å, b = 9.2774 Å, c = 24.6232 Å, α = 90.00°, β = 90.00° and γ = 120.00°. The inequivalent atoms are K at (0.0000, 0.0000, 0.0000), K at (0.0000, 0.5000, 0.0000), Pa at (0.0000, 0.0000, 0.5000), Bi at (0.0000, 0.5000, 0.5000), Te at (0.0000, 0.0000, 0.2364) and Te at (0.0066, 0.5033, 0.2368).


5.
The following is a DFT calculation (PBE) of a relaxed structure of K2PaBiTe4.

Its crystal system is monoclinic. The formation energy (no corrections) is -0.743 eV per atom. The value obtained for the density of states at the Fermi level is 1.01 states/eV/atom. The calculation puts the calculated density at 5.6 g/cm3.

It has space group P2/m (No. 10), with a = 8.004 Å, b = 4.575 Å, c = 8.666 Å, α = 90.00°, β = 107.62° and γ = 90.00°. The inequivalent atoms are K at (0.000, 0.000, 0.000), K at (0.500, 0.500, 0.000), Pa at (0.000, 0.500, 0.500), Bi at (0.500, 0.000, 0.500), Te at (0.231, 0.000, 0.713) and Te at (0.256, 0.500, 0.289).


6.
The following is a DFT calculation (PBE) of a relaxed structure of K3PaBi3Te8.

Its crystal system is trigonal. The formation energy (no corrections) is -0.656 eV per atom. The value obtained for the density of states at the Fermi level is 0.44 states/eV/atom. The calculation puts the calculated density at 5.5 g/cm3.

It has space group R-3m (No. 166, hexagonal axes), with a = 9.0975 Å, b = 9.0975 Å, c = 25.3357 Å, α = 90.00°, β = 90.00° and γ = 120.00°. The inequivalent atoms are K at (0.0000, 0.5000, 0.0000), Pa at (0.0000, 0.0000, 0.5000), Bi at (0.0000, 0.5000, 0.5000), Te at (0.0000, 0.0000, 0.2369) and Te at (0.0079, 0.5040, 0.2355).